Crystalline KBa2NaZn at its relaxed geometry, computed with GGA-PBE.

```
data_KBa2NaZn
_chemical_formula_sum 'K1 Ba2 Na1 Zn1'
_cell_length_a 6.5173
_cell_length_b 6.5173
_cell_length_c 6.6180
_cell_angle_alpha 90.00
_cell_angle_beta 90.00
_cell_angle_gamma 90.00
_symmetry_space_group_name_H-M 'P 1'
_symmetry_Int_Tables_number 1
loop_
_symmetry_equiv_pos_as_xyz
'x,y,z'
loop_
_atom_site_label
_atom_site_type_symbol
_atom_site_fract_x
_atom_site_fract_y
_atom_site_fract_z
K1 K 0.0000 0.0000 0.5000
Na1 Na 0.5000 0.5000 0.5000
Zn1 Zn 0.0000 0.0000 0.0000
Ba1 Ba 0.0000 0.5000 0.0000
Ba2 Ba 0.5000 0.0000 0.0000
```

Summary:
Formation enthalpy at 0 K ... 68 meV per atom
E above lowest polymorph ... 21 meV per atom
DOS at the Fermi energy ... 0.883 states/eV/atom
Symmetry ... P4/mmm